Entry 1:
PBE HoTm2Pd8, optimized geometry; total DFT energy (no corrections) = -5.805 eV/atom; symmetry = No. 12; ΔE_f = -8.79 eV per formula unit
1.0
7.376 -2.091 0.000
7.376 2.091 0.000
-2.117 0.000 6.376
Ho Tm Pd
1 2 8
Direct
0.000 0.000 0.000
0.282 0.282 0.334
0.718 0.718 0.666
0.093 0.093 0.452
0.178 0.178 0.908
0.358 0.358 0.816
0.462 0.462 0.282
0.538 0.538 0.718
0.642 0.642 0.184
0.822 0.822 0.092
0.907 0.907 0.548

Entry 2:
PBE Li2OsW, optimized geometry; energy above the lowest structure with this stoichiometry = 0.99 eV per formula unit; total DFT energy (no corrections) = -6.567 eV/atom; symmetry = No. 65; ΔE_f = 1.74 eV per formula unit
1.0
2.523 -4.602 0.000
2.523 4.602 0.000
0.000 0.000 2.548
Li Os W
2 1 1
Direct
0.000 0.500 0.000
0.500 0.000 0.000
0.000 0.000 0.500
0.500 0.500 0.500

Entry 3:
PBE HfSiSn3, optimized geometry; energy above the lowest structure with this stoichiometry = 0.00 eV per formula unit; total DFT energy (no corrections) = -4.691 eV/atom; symmetry = No. 221; energy relative to the elements, uncorrected = 786 meV/atom
1.0
5.117 0.000 0.000
0.000 5.117 0.000
0.000 0.000 5.117
Hf Si Sn
1 1 3
Direct
0.000 0.000 0.000
0.500 0.500 0.500
0.000 0.500 0.500
0.500 0.000 0.500
0.500 0.500 0.000